Compound: HfAgIr2Rh
Source: the Alexandria database
Functional: PBE
Structure: optimized geometry

Geometry as POSCAR:
```
HfAgIr2Rh
1.0
4.794 0.000 0.000
0.000 4.794 0.000
0.000 0.000 4.718
Hf Ag Ir Rh
1 1 2 1
Direct
0.000 0.000 0.000
0.500 0.500 0.000
0.000 0.500 0.500
0.500 0.000 0.500
0.000 0.000 0.500
```

The crystal system is tetragonal. The formation energy is 1140 meV per atom. The final energy is -6.44 eV per atom.

Compound: HfAgIr2Se
Source: the Alexandria database
Functional: PBE
Structure: optimized geometry

Geometry as POSCAR:
```
HfAgIr2Se
1.0
4.615 0.000 0.000
0.000 4.615 0.000
0.000 0.000 4.832
Hf Ag Ir Se
1 1 2 1
Direct
0.000 0.000 0.000
0.500 0.500 0.000
0.000 0.500 0.500
0.500 0.000 0.500
0.000 0.000 0.500
```

As for the formation energy from raw total energies: 723 meV/atom. The crystal system is tetragonal. The final energy is -6.08 eV per atom.

Compound: SmHfAgIr
Source: the Alexandria database
Functional: PBE
Structure: optimized geometry

Geometry as POSCAR:
```
SmHfAgIr
1.0
0.000 3.462 3.462
3.462 0.000 3.462
3.462 3.462 0.000
Sm Hf Ag Ir
1 1 1 1
Direct
0.000 0.000 0.000
0.500 0.500 0.500
0.750 0.750 0.750
0.250 0.250 0.250
```

The crystal system is cubic. The formation energy is -363 meV per atom. The final energy is -6.96 eV per atom.

Compound: HfAgSnIr
Source: the Alexandria database
Functional: PBE
Structure: optimized geometry

Geometry as POSCAR:
```
HfAgSnIr
1.0
0.000 3.321 3.321
3.321 0.000 3.321
3.321 3.321 0.000
Hf Ag Sn Ir
1 1 1 1
Direct
0.000 0.000 0.000
0.750 0.750 0.750
0.500 0.500 0.500
0.250 0.250 0.250
```

The crystal system is cubic. The formation energy is -340 meV per atom. The final energy is -6.76 eV per atom.

Compound: HfTiAgIr
Source: the Alexandria database
Functional: PBE
Structure: optimized geometry

Geometry as POSCAR:
```
HfTiAgIr
1.0
0.000 3.265 3.265
3.265 0.000 3.265
3.265 3.265 0.000
Hf Ti Ag Ir
1 1 1 1
Direct
0.000 0.000 0.000
0.500 0.500 0.500
0.750 0.750 0.750
0.250 0.250 0.250
```

The crystal system is cubic. The formation energy is -374 meV per atom. The final energy is -7.76 eV per atom.

Compound: TmHfAgIr
Source: the Alexandria database
Functional: PBE
Structure: optimized geometry

Geometry as POSCAR:
```
TmHfAgIr
1.0
0.000 3.401 3.401
3.401 0.000 3.401
3.401 3.401 0.000
Tm Hf Ag Ir
1 1 1 1
Direct
0.000 0.000 0.000
0.500 0.500 0.500
0.750 0.750 0.750
0.250 0.250 0.250
```

The crystal system is cubic. The formation energy is -517 meV per atom. The final energy is -7.05 eV per atom.

- What is the final energy in the third record?
  -6.96 eV per atom

- The highest final energy belongs to which entry?
  HfAgIr2Se